1.
Crystalline Rb2Cd2Te at its relaxed geometry. Source: Alexandria, functional GGA-PBE.

As for the energy above the lowest structure with this stoichiometry: 0 meV/atom.

The structure belongs to space group P4/mbm (No. 127); the cell edges are 8.523, 8.523 and 5.461 Å and the angles 90.00°, 90.00° and 90.00°. Symmetry generates all atoms from Rb at (0.187, 0.313, 0.000), Cd at (0.122, 0.622, 0.500) and Te at (0.000, 0.000, 0.500).

***

2.
Crystalline Rb3Cd2Te4 at its relaxed geometry. Source: Alexandria, functional GGA-PBE.

As for the energy above the lowest structure with this stoichiometry: 0 meV/atom.

The structure belongs to space group P-1 (No. 2); the cell edges are 4.889, 8.550 and 9.877 Å and the angles 112.63°, 104.33° and 90.00°. Symmetry generates all atoms from Rb at (0.000, 0.000, 0.000), Rb at (0.132, 0.553, 0.263), Cd at (0.330, 0.039, 0.661), Te at (0.211, 0.176, 0.422) and Te at (0.481, 0.294, 0.963).

***

3.
Crystalline Rb2CdTe at its relaxed geometry. Source: Alexandria, functional GGA-PBE.

As for the energy above the lowest structure with this stoichiometry: 0 meV/atom.

The structure belongs to space group Fm-3m (No. 225); the cell edges are 8.765, 8.765 and 8.765 Å and the angles 90.00°, 90.00° and 90.00°. Symmetry generates all atoms from Rb at (0.250, 0.250, 0.250), Cd at (0.000, 0.000, 0.000) and Te at (0.000, 0.000, 0.500).

***

4.
Crystalline Rb3CdTe3 at its relaxed geometry. Source: Alexandria, functional GGA-PBE.

The structure belongs to space group C2/m (No. 12); the cell edges are 14.050, 4.970 and 17.785 Å and the angles 90.00°, 106.88° and 90.00°. Symmetry generates all atoms from Rb at (0.032, 0.000, 0.226), Rb at (0.098, 0.500, 0.610), Rb at (0.187, 0.000, 0.086), Cd at (0.212, 0.500, 0.404), Te at (0.050, 0.500, 0.942), Te at (0.122, 0.000, 0.445) and Te at (0.248, 0.000, 0.741).

***

5.
Crystalline Rb6CdTe4 at its relaxed geometry. Source: Alexandria, functional GGA-PBE.

The structure belongs to space group P6_3mc (No. 186); the cell edges are 11.5375, 11.5375 and 8.8248 Å and the angles 90.00°, 90.00° and 120.00°. Symmetry generates all atoms from Rb at (0.0504, 0.5252, 0.0000), Rb at (0.1488, 0.2976, 0.3195), Cd at (0.3333, 0.6667, 0.6193), Te at (0.1939, 0.3877, 0.7189) and Te at (0.3333, 0.6667, 0.2857).

***

6.
Crystalline Rb2CdTe2 at its relaxed geometry. Source: Alexandria, functional GGA-PBE.

The structure belongs to space group C2/m (No. 12); the cell edges are 16.364, 7.101 and 12.207 Å and the angles 90.00°, 131.06° and 90.00°. Symmetry generates all atoms from Rb at (0.105, 0.000, 0.312), Rb at (0.163, 0.500, 0.017), Cd at (0.127, 0.500, 0.664), Te at (0.071, 0.500, 0.389) and Te at (0.166, 0.000, 0.077).

***

7.
Crystalline Rb2Cd2Te at its relaxed geometry. Source: Alexandria, functional GGA-PBE.

As for the energy above the lowest structure with this stoichiometry: 73 meV/atom.

The structure belongs to space group I4/mmm (No. 139); the cell edges are 7.117, 7.117 and 9.057 Å and the angles 90.00°, 90.00° and 90.00°. Symmetry generates all atoms from Rb at (0.000, 0.500, 0.250), Cd at (0.000, 0.000, 0.163) and Te at (0.000, 0.000, 0.500).

***

8.
Crystalline Rb3Th3CdTe8 at its relaxed geometry. Source: Alexandria, functional GGA-PBE.

The structure belongs to space group R-3m (No. 166, hexagonal axes); the cell edges are 9.1392, 9.1392 and 26.0654 Å and the angles 90.00°, 90.00° and 120.00°. Symmetry generates all atoms from Rb at (0.0000, 0.5000, 0.0000), Th at (0.0000, 0.5000, 0.5000), Cd at (0.0000, 0.0000, 0.5000), Te at (0.0000, 0.0000, 0.2363) and Te at (0.0026, 0.5013, 0.7677).

***

9.
Crystalline Rb2TmCd2Te4 at its relaxed geometry. Source: Alexandria, functional GGA-PBE.

The structure belongs to space group C2/m (No. 12); the cell edges are 17.616, 4.472 and 9.024 Å and the angles 90.00°, 113.43° and 90.00°. Symmetry generates all atoms from Rb at (0.128, 0.000, 0.071), Tm at (0.000, 0.000, 0.500), Cd at (0.189, 0.500, 0.508), Te at (0.020, 0.500, 0.278) and Te at (0.186, 0.000, 0.717).

***

10.
Crystalline Rb3U3CdTe8 at its relaxed geometry. Source: Alexandria, functional GGA-PBE.

The structure belongs to space group C2/m (No. 12); the cell edges are 15.677, 8.931 and 10.165 Å and the angles 90.00°, 121.20° and 90.00°. Symmetry generates all atoms from Rb at (0.000, 0.000, 0.000), Rb at (0.250, 0.250, 0.000), U at (0.000, 0.500, 0.500), U at (0.250, 0.250, 0.500), Cd at (0.000, 0.000, 0.500), Te at (0.019, 0.249, 0.305), Te at (0.234, 0.500, 0.702) and Te at (0.243, 0.000, 0.701).

***

11.
Crystalline Rb2UCdTe4 at its relaxed geometry. Source: Alexandria, functional GGA-PBE.

The structure belongs to space group P2/m (No. 10); the cell edges are 8.029, 4.506 and 8.942 Å and the angles 90.00°, 108.72° and 90.00°. Symmetry generates all atoms from Rb at (0.000, 0.000, 0.000), Rb at (0.500, 0.500, 0.000), U at (0.000, 0.500, 0.500), Cd at (0.500, 0.000, 0.500), Te at (0.217, 0.000, 0.707) and Te at (0.270, 0.500, 0.317).

***

12.
Crystalline Rb2U2CdTe6 at its relaxed geometry. Source: Alexandria, functional GGA-PBE.

The structure belongs to space group C2/m (No. 12); the cell edges are 7.625, 13.349 and 9.171 Å and the angles 90.00°, 105.85° and 90.00°. Symmetry generates all atoms from Rb at (0.000, 0.164, 0.000), U at (0.000, 0.333, 0.500), Cd at (0.000, 0.000, 0.500), Te at (0.226, 0.500, 0.695) and Te at (0.235, 0.170, 0.697).

***

Number 1: uncorrected formation energy -293 meV/atom. Number 2: uncorrected formation energy -731 meV/atom. Number 3: uncorrected formation energy -611 meV/atom. Number 4: uncorrected formation energy -816 meV/atom. Number 5: uncorrected formation energy -963 meV/atom. Number 6: uncorrected formation energy -806 meV/atom. Number 7: uncorrected formation energy -219 meV/atom. Number 8: uncorrected formation energy -1070 meV/atom. Number 9: uncorrected formation energy -857 meV/atom. Number 10: uncorrected formation energy -739 meV/atom. Number 11: uncorrected formation energy -748 meV/atom. Number 12: uncorrected formation energy -724 meV/atom.